A relaxed structure of YZn4Si2, computed with PBE-GGA.

Results
ΔE_f (raw): -240 meV per atom
V: 118.0 Å³/cell
Total DFT energy (no corrections): -3.4405 eV/atom

The structure in extended XYZ format:
```
7
Lattice="3.979 0.000 0.000 0.000 3.992 0.000 0.000 -1.996 7.428" Properties=species:S:1:pos:R:3 pbc="T T T"
Zn 0.000 1.996 2.788
Zn 0.000 0.000 4.640
Si 1.989 0.000 6.255
Zn 1.989 1.996 4.710
Zn 1.989 0.000 2.718
Si 1.989 1.996 1.173
Y 0.000 0.000 0.000
```